(1)
PBE Pm6SmIn2, relaxed; excess energy over the best structure of this formula in the dataset = 0.00 eV/f.u.; crystal system = monoclinic; total DFT energy (no corrections) = -40.47 eV per cell; DFT formation energy = -0.197 eV per atom; magnetic moment = 0.00 μB/f.u.; DOS(E_F) = 1.26 states/eV per atom
1.0
6.541 -1.927 0.000
6.541 1.927 0.000
-3.805 0.000 11.489
Pm Sm In
6 1 2
Direct
0.013 0.013 0.339 Pm
0.309 0.309 0.414 Pm
0.314 0.314 0.124 Pm
0.686 0.686 0.876 Pm
0.691 0.691 0.586 Pm
0.987 0.987 0.661 Pm
0.000 0.000 0.000 Sm
0.358 0.358 0.794 In
0.642 0.642 0.206 In



(2)
PBE Pm7Sm3In, relaxed; crystal system = trigonal; total DFT energy (no corrections) = -49.11 eV per cell; DFT formation energy = 0.095 eV per atom; magnetic moment = 0.00 μB/f.u.; DOS(E_F) = 1.51 states/eV per atom
1.0
7.108 0.000 0.000
-3.554 6.156 0.000
0.000 0.000 8.682
Pm Sm In
7 3 1
Direct
0.000 0.000 0.000 Pm
0.164 0.329 0.337 Pm
0.164 0.836 0.337 Pm
0.502 0.004 0.012 Pm
0.502 0.498 0.012 Pm
0.671 0.836 0.337 Pm
0.996 0.498 0.012 Pm
0.333 0.167 0.670 Sm
0.833 0.167 0.670 Sm
0.833 0.667 0.670 Sm
0.667 0.333 0.342 In



(3)
PBE PmSm9In2, relaxed; crystal system = tetragonal; total DFT energy (no corrections) = -54.71 eV per cell; DFT formation energy = -0.167 eV per atom; magnetic moment = 0.00 μB/f.u.; DOS(E_F) = 1.22 states/eV per atom
1.0
4.961 0.000 0.000
0.000 4.961 0.000
0.000 0.000 15.256
Pm Sm In
1 9 2
Direct
0.000 0.000 0.000 Pm
0.000 0.500 0.175 Sm
0.000 0.500 0.500 Sm
0.000 0.500 0.825 Sm
0.500 0.000 0.175 Sm
0.500 0.000 0.500 Sm
0.500 0.000 0.825 Sm
0.500 0.500 0.000 Sm
0.500 0.500 0.339 Sm
0.500 0.500 0.661 Sm
0.000 0.000 0.339 In
0.000 0.000 0.661 In